Record 1
Density functional theory data (PBE) for a geometry-optimized Sc3AsC structure.

Cell and atoms, written as CIF:
```
data_Sc3AsC
_chemical_formula_sum 'Sc12 As4 C4'
_space_group_name_H-M_alt 'C m m m'
_space_group_IT_number 65
_space_group_name_Hall '-C 2 2'
_cell_length_a 6.134
_cell_length_b 13.227
_cell_length_c 4.399
_cell_angle_alpha 90.00
_cell_angle_beta 90.00
_cell_angle_gamma 90.00
loop_
_atom_site_label
_atom_site_type_symbol
_atom_site_fract_x
_atom_site_fract_y
_atom_site_fract_z
Sc1 Sc 0.000 0.132 0.000
Sc2 Sc 0.245 0.000 0.500
Sc3 Sc 0.250 0.250 0.500
As1 As 0.000 0.359 0.000
C1 C 0.000 0.126 0.500
```

Computed properties:
Magnetization, μB/f.u.: 0.00
Total DFT energy (no corrections), eV per cell: -146.90
Calculated density, g/cm3: 4.13
Calculated formation energy, eV per atom: -0.771


Record 2
Density functional theory data (PBE) for a geometry-optimized CaPr2NdTl4 structure.

Cell and atoms, written as CIF:
```
data_CaPr2NdTl4
_chemical_formula_sum 'Ca3 Pr6 Nd3 Tl12'
_space_group_name_H-M_alt 'R -3 m'
_space_group_IT_number 166
_space_group_name_Hall '-R 3 2"'
_cell_length_a 5.5201
_cell_length_b 5.5201
_cell_length_c 27.3438
_cell_angle_alpha 90.00
_cell_angle_beta 90.00
_cell_angle_gamma 120.00
loop_
_atom_site_label
_atom_site_type_symbol
_atom_site_fract_x
_atom_site_fract_y
_atom_site_fract_z
Ca1 Ca 0.0000 0.0000 0.0000
Pr1 Pr 0.0000 0.0000 0.2543
Nd1 Nd 0.0000 0.0000 0.5000
Tl1 Tl 0.0000 0.0000 0.1263
Tl2 Tl 0.0000 0.0000 0.3764
```

Computed properties:
Magnetization, μB/f.u.: 0.00
Total DFT energy (no corrections), eV per cell: -87.00
Calculated density, g/cm3: 8.86
Calculated formation energy, eV per atom: -0.401


Record 3
Density functional theory data (PBE) for a geometry-optimized Pr6Tl2Bi structure.

Cell and atoms, written as CIF:
```
data_Pr6Tl2Bi
_chemical_formula_sum 'Pr6 Tl2 Bi1'
_space_group_name_H-M_alt 'P -6 2 m'
_space_group_IT_number 189
_space_group_name_Hall 'P -6 -2'
_cell_length_a 8.9236
_cell_length_b 8.9236
_cell_length_c 4.3266
_cell_angle_alpha 90.00
_cell_angle_beta 90.00
_cell_angle_gamma 120.00
loop_
_atom_site_label
_atom_site_type_symbol
_atom_site_fract_x
_atom_site_fract_y
_atom_site_fract_z
Pr1 Pr 0.0000 0.3970 0.0000
Pr2 Pr 0.0000 0.7214 0.5000
Tl1 Tl 0.3333 0.6667 0.5000
Bi1 Bi 0.0000 0.0000 0.0000
```

Computed properties:
Magnetization, μB/f.u.: 0.00
Total DFT energy (no corrections), eV per cell: -40.75
Calculated density, g/cm3: 8.14
Calculated formation energy, eV per atom: -0.385


Record 4
Density functional theory data (PBE) for a geometry-optimized SiB3 structure.

Cell and atoms, written as CIF:
```
data_SiB3
_chemical_formula_sum 'Si2 B6'
_space_group_name_H-M_alt 'C 1 2 1'
_space_group_IT_number 5
_space_group_name_Hall 'C 2y'
_cell_length_a 3.736
_cell_length_b 5.290
_cell_length_c 3.826
_cell_angle_alpha 90.00
_cell_angle_beta 102.34
_cell_angle_gamma 90.00
loop_
_atom_site_label
_atom_site_type_symbol
_atom_site_fract_x
_atom_site_fract_y
_atom_site_fract_z
Si1 Si 0.000 0.000 0.000
B1 B 0.000 0.517 0.500
B2 B 0.206 0.231 0.668
```

Computed properties:
Magnetization, μB/f.u.: 0.00
Total DFT energy (no corrections), eV per cell: -48.61
Calculated density, g/cm3: 2.72
ΔE_f (raw), meV/atom: 288